BeZnRu2 | PBE | optimized geometry

Values from the calculation:
- density of states at the Fermi level (states/eV per atom) = 0.9080
- energy (eV per atom) = -5.382

abc: 3.654 3.654 17.151
angles: 90.00 90.00 90.00
Space group I-42d (No. 122)
Symmetry-distinct sites (fractional):
Be 0.000 0.000 0.000 [4 per cell]
Zn 0.000 0.000 0.500 [4 per cell]
Ru 0.216 0.250 0.125 [8 per cell]

---

TiIn2GaBr6 | PBE | optimized geometry

Values from the calculation:
- density of states at the Fermi level (states/eV per atom) = 0.6207
- energy relative to the elements, uncorrected (kJ/mol of atoms) = -79.8

abc: 7.802 7.805 7.871
angles: 60.31 60.31 60.04
Space group P1 (No. 1)
Symmetry-distinct sites (fractional):
Ti 0.000 0.000 0.000 [1 per cell]
In 0.297 0.297 0.110 [1 per cell]
In 0.786 0.787 0.640 [1 per cell]
Ga 0.509 0.508 0.475 [1 per cell]
Br 0.143 0.769 0.779 [1 per cell]
Br 0.210 0.682 0.247 [1 per cell]
Br 0.309 0.143 0.780 [1 per cell]
Br 0.681 0.862 0.246 [1 per cell]
Br 0.769 0.309 0.779 [1 per cell]
Br 0.862 0.210 0.247 [1 per cell]

---

TlAsIr2 | PBE | optimized geometry

Values from the calculation:
- ΔE to the lowest computed polymorph (meV/atom) = 245
- density of states at the Fermi level (states/eV per atom) = 0.4461

abc: 6.118 7.262 3.090
angles: 90.00 90.00 90.00
Space group Cmmm (No. 65)
Symmetry-distinct sites (fractional):
Tl 0.000 0.000 0.000 [2 per cell]
As 0.000 0.500 0.000 [2 per cell]
Ir 0.250 0.250 0.500 [4 per cell]

---

Rb2ScBi | PBE | optimized geometry

Values from the calculation:
- density of states at the Fermi level (states/eV per atom) = 0.7339
- energy (eV per atom) = -2.766

abc: 4.743 4.743 27.502
angles: 90.00 90.00 90.00
Space group I-42d (No. 122)
Symmetry-distinct sites (fractional):
Rb 0.243 0.250 0.125 [8 per cell]
Sc 0.000 0.000 0.500 [4 per cell]
Bi 0.000 0.000 0.000 [4 per cell]

---

Pr2CuNi3P4 | PBE | optimized geometry

Values from the calculation:
- density of states at the Fermi level (states/eV per atom) = 0.2136
- energy (eV per atom) = -6.181

abc: 4.096 4.096 9.259
angles: 90.00 90.00 90.00
Space group P-4m2 (No. 115)
Symmetry-distinct sites (fractional):
Pr 0.000 0.500 0.247 [2 per cell]
Cu 0.000 0.000 0.500 [1 per cell]
Ni 0.000 0.500 0.889 [2 per cell]
Ni 0.500 0.500 0.500 [1 per cell]
P 0.000 0.000 0.000 [1 per cell]
P 0.000 0.500 0.633 [2 per cell]
P 0.500 0.500 0.000 [1 per cell]

---

MgIn2Ni | PBE | optimized geometry

Values from the calculation:
- density of states at the Fermi level (states/eV per atom) = 0.5148
- energy (eV per atom) = -3.172

abc: 3.337 4.323 5.705
angles: 90.00 102.87 90.00
Space group P2/m (No. 10)
Symmetry-distinct sites (fractional):
Mg 0.000 0.000 0.000 [1 per cell]
In 0.363 0.500 0.729 [2 per cell]
Ni 0.000 0.000 0.500 [1 per cell]

---

Ta2CrCl | PBE | optimized geometry

Values from the calculation:
- ΔE to the lowest computed polymorph (meV/atom) = 804
- density of states at the Fermi level (states/eV per atom) = 0.9165
- energy relative to the elements, uncorrected (kJ/mol of atoms) = 75.4

abc: 3.656 3.656 9.520
angles: 90.00 90.00 90.00
Space group I-4m2 (No. 119)
Symmetry-distinct sites (fractional):
Ta 0.000 0.000 0.000 [2 per cell]
Ta 0.000 0.500 0.250 [2 per cell]
Cr 0.000 0.000 0.500 [2 per cell]
Cl 0.000 0.500 0.750 [2 per cell]

---

Tm8AgOs2 | PBE | optimized geometry

Values from the calculation:
- density of states at the Fermi level (states/eV per atom) = 0.7957
- energy (eV per atom) = -5.759

abc: 8.606 12.589 5.501
angles: 90.00 104.83 90.00
Space group Cm (No. 8)
Symmetry-distinct sites (fractional):
Tm 0.000 0.000 0.000 [2 per cell]
Tm 0.077 0.367 0.787 [4 per cell]
Tm 0.180 0.133 0.607 [4 per cell]
Tm 0.257 0.500 0.394 [2 per cell]
Tm 0.378 0.240 0.197 [4 per cell]
Ag 0.378 0.000 0.194 [2 per cell]
Os 0.379 0.314 0.697 [4 per cell]

---

BaSiPb2 | PBE | optimized geometry

Values from the calculation:
- density of states at the Fermi level (states/eV per atom) = 0.2618
- energy relative to the elements, uncorrected (kJ/mol of atoms) = -8.8

abc: 5.0450 5.0450 17.9749
angles: 90.00 90.00 120.00
Space group R-3m (No. 166, hexagonal axes)
Symmetry-distinct sites (fractional):
Ba 0.0000 0.0000 0.0000 [3 per cell]
Si 0.0000 0.0000 0.5000 [3 per cell]
Pb 0.0000 0.0000 0.2129 [6 per cell]

---

Mn2FeCu | PBE | optimized geometry

Values from the calculation:
- ΔE to the lowest computed polymorph (meV/atom) = 132
- density of states at the Fermi level (states/eV per atom) = 1.4878

abc: 3.592 3.592 7.023
angles: 90.00 90.00 90.00
Space group I4/mmm (No. 139)
Symmetry-distinct sites (fractional):
Mn 0.000 0.500 0.250 [4 per cell]
Fe 0.000 0.000 0.000 [2 per cell]
Cu 0.000 0.000 0.500 [2 per cell]

---

K2Fe2As | PBE | optimized geometry

Values from the calculation:
- density of states at the Fermi level (states/eV per atom) = 1.1110
- energy (eV per atom) = -4.094

abc: 6.691 6.691 6.880
angles: 90.00 90.00 90.00
Space group I4/mmm (No. 139)
Symmetry-distinct sites (fractional):
K 0.000 0.500 0.250 [4 per cell]
Fe 0.000 0.000 0.157 [4 per cell]
As 0.000 0.000 0.500 [2 per cell]

---

V3MoP | PBE | optimized geometry

Values from the calculation:
- ΔE to the lowest computed polymorph (meV/atom) = 0
- density of states at the Fermi level (states/eV per atom) = 0.8863

abc: 9.323 5.885 10.883
angles: 90.00 106.51 90.00
Space group C2/c (No. 15)
Symmetry-distinct sites (fractional):
V 0.049 0.147 0.073 [8 per cell]
V 0.150 0.042 0.809 [8 per cell]
V 0.224 0.380 0.406 [8 per cell]
Mo 0.058 0.365 0.626 [8 per cell]
P 0.000 0.306 0.250 [4 per cell]
P 0.250 0.250 0.000 [4 per cell]

---

The lowest density of states at the Fermi level belongs to which entry? Pr2CuNi3P4

---

Which of these has the lowest density of states at the Fermi level? Pr2CuNi3P4